1.
# LuMo6S8 | Alexandria | GGA-PBEsol | optimized geometry
# Calculated density in g/cm3: 6.500
# Formation energy (no corrections) in eV/atom: -0.98
# Total magnetization in μB per atom: 0.000
# E in Ry/atom: -0.61360
data_LuMo6S8
_symmetry_space_group_name_H-M 'P 1'
_symmetry_Int_Tables_number 1
_cell_length_a 6.361
_cell_length_b 6.361
_cell_length_c 6.361
_cell_angle_alpha 89.24
_cell_angle_beta 89.24
_cell_angle_gamma 89.24
loop_
_symmetry_equiv_pos_as_xyz
'x,y,z'
loop_
_atom_site_label
_atom_site_fract_x
_atom_site_fract_y
_atom_site_fract_z
S1 0.872 0.242 0.634
S2 0.764 0.764 0.764
S3 0.236 0.236 0.236
S4 0.758 0.366 0.128
S5 0.634 0.872 0.242
S6 0.128 0.758 0.366
S7 0.366 0.128 0.758
S8 0.242 0.634 0.872
Mo1 0.420 0.560 0.220
Mo2 0.220 0.420 0.560
Mo3 0.440 0.780 0.580
Mo4 0.560 0.220 0.420
Mo5 0.780 0.580 0.440
Mo6 0.580 0.440 0.780
Lu1 0.000 0.000 0.000

***

2.
# Re4Ru | Alexandria | GGA-PBEsol | optimized geometry
# Calculated density in g/cm3: 16.851
# ΔE to the lowest computed polymorph in meV per atom: 0.0
# Total magnetization in μB per atom: 0.157
# Calculated formation energy in eV/atom: 0.98
# E in Ry/atom: -0.86138
data_Re4Ru
_symmetry_space_group_name_H-M 'P 1'
_symmetry_Int_Tables_number 1
_cell_length_a 3.818
_cell_length_b 3.818
_cell_length_c 6.324
_cell_angle_alpha 107.57
_cell_angle_beta 107.57
_cell_angle_gamma 90.00
loop_
_symmetry_equiv_pos_as_xyz
'x,y,z'
loop_
_atom_site_label
_atom_site_fract_x
_atom_site_fract_y
_atom_site_fract_z
Re1 0.605 0.605 0.211
Re2 0.750 0.250 0.500
Re3 0.250 0.750 0.500
Re4 0.395 0.395 0.789
Ru1 0.000 0.000 0.000

***

3.
# NaIn3 | Alexandria | GGA-PBEsol | optimized geometry
# Calculated density in g/cm3: 6.235
# Total magnetization in μB per atom: 0.000
# Calculated formation energy in eV/atom: -0.09
# E in Ry/atom: -0.19671
data_NaIn3
_symmetry_space_group_name_H-M 'P 1'
_symmetry_Int_Tables_number 1
_cell_length_a 4.580
_cell_length_b 4.580
_cell_length_c 5.679
_cell_angle_alpha 113.78
_cell_angle_beta 113.78
_cell_angle_gamma 90.00
loop_
_symmetry_equiv_pos_as_xyz
'x,y,z'
loop_
_atom_site_label
_atom_site_fract_x
_atom_site_fract_y
_atom_site_fract_z
Na1 0.000 0.000 0.000
In1 0.750 0.250 0.500
In2 0.500 0.500 0.000
In3 0.250 0.750 0.500